A relaxed SrPdS crystal, computed with PBE-GGA.

Structure (POSCAR):
```
SrPdS
1.0
4.4533 0.0000 0.0000
-0.0085 5.8964 0.0000
-2.2259 -0.0865 5.4732
Sr Pd S
2 2 2
Direct
0.1387 0.2502 0.2788 Sr
0.8613 0.7498 0.7212 Sr
0.4210 0.2737 0.8429 Pd
0.5790 0.7263 0.1571 Pd
0.1445 0.7505 0.2881 S
0.8555 0.2495 0.7119 S
```

Calculated values
Total DFT energy (no corrections) ... -4.890 eV per atom
Symmetry ... No. 2

A relaxed SrPdS crystal, computed with PBE-GGA.

Structure (POSCAR):
```
SrPdS
1.0
2.1890 -6.6690 0.0000
2.1890 6.6690 0.0000
0.0000 0.0000 5.3471
Sr Pd S
2 2 2
Direct
0.1396 0.8604 0.5000 Sr
0.8604 0.1396 0.0000 Sr
0.4852 0.5148 0.6907 Pd
0.5148 0.4852 0.1907 Pd
0.3544 0.6456 0.4027 S
0.6456 0.3544 0.9027 S
```

Calculated values
Total DFT energy (no corrections) ... -4.866 eV per atom
Symmetry ... No. 36

A relaxed SrPdS3 crystal, computed with PBE-GGA.

Structure (POSCAR):
```
SrPdS3
1.0
4.7894 0.0000 0.0000
0.0000 4.7894 0.0000
0.0000 0.0000 4.7894
Sr Pd S
1 1 3
Direct
0.0000 0.0000 0.0000 Sr
0.5000 0.5000 0.5000 Pd
0.0000 0.5000 0.5000 S
0.5000 0.0000 0.5000 S
0.5000 0.5000 0.0000 S
```

Calculated values
Polymorph energy (0 for the lowest one) ... 0.0 kJ/mol of atoms
Symmetry ... No. 221

A relaxed SrPdS2 crystal, computed with PBE-GGA.

Structure (POSCAR):
```
SrPdS2
1.0
0.0000 3.4194 3.4194
3.4194 0.0000 3.4194
3.4194 3.4194 0.0000
Sr Pd S
1 1 2
Direct
0.0000 0.0000 0.0000 Sr
0.5000 0.5000 0.5000 Pd
0.2500 0.2500 0.2500 S
0.7500 0.7500 0.7500 S
```

Calculated values
Total DFT energy (no corrections) ... -4.405 eV per atom
Symmetry ... No. 225